HgPtW2: optimized geometry, GGA-PBEsol.

a b c (Å): 3.111 4.708 5.391
angles (deg): 115.89 106.77 90.00
Fractional coordinates of all 4 atoms:
Hg1 0.503 0.503 0.006
W1 0.006 0.006 0.012
Pt1 0.268 0.768 0.536
W2 0.723 0.223 0.447

Computed properties:
Its electronic total energy is -8.316 eV/atom. As for the symmetry: Imm2 (44). Its density of states at the Fermi level is 0.710 states/eV per atom.

Ba2CrF2: optimized geometry, GGA-PBEsol.

a b c (Å): 5.602 5.801 5.602
angles (deg): 118.87 90.00 118.87
Fractional coordinates of all 5 atoms:
F1 0.230 0.459 0.230
Ba1 0.750 0.500 0.250
Cr1 0.000 0.000 0.000
Ba2 0.250 0.500 0.750
F2 0.770 0.541 0.770

Computed properties:
The formation energy without anion corrections comes out at -1.5970 eV/atom. Its electronic total energy is -5.276 eV/atom. As for the symmetry: I4/mmm (139). Its density of states at the Fermi level is 0.514 states/eV per atom.

Mg2MnSb2: optimized geometry, GGA-PBEsol.

a b c (Å): 4.922 4.922 6.525
angles (deg): 112.16 112.16 90.00
Fractional coordinates of all 5 atoms:
Sb1 0.625 0.625 0.251
Mg1 0.250 0.750 0.500
Mg2 0.750 0.250 0.500
Mn1 0.000 0.000 0.000
Sb2 0.375 0.375 0.749

Computed properties:
The formation energy without anion corrections comes out at 0.3935 eV/atom. Its electronic total energy is -4.069 eV/atom. As for the symmetry: I4/mmm (139). Its density of states at the Fermi level is 0.349 states/eV per atom.

In5Pb: optimized geometry, GGA-PBEsol.

a b c (Å): 3.407 7.016 6.965
angles (deg): 103.90 90.00 104.05
Fractional coordinates of all 6 atoms:
Pb1 0.694 0.388 0.889
In1 0.361 0.722 0.231
In2 0.366 0.732 0.717
In3 0.023 0.046 0.062
In4 0.028 0.056 0.547
In5 0.695 0.389 0.389

Computed properties:
Its electronic total energy is -3.145 eV/atom. As for the symmetry: Cm (8). Its density of states at the Fermi level is 0.430 states/eV per atom.

ErAgS2: optimized geometry, GGA-PBEsol.

a b c (Å): 3.937 3.937 6.366
angles (deg): 71.99 71.99 60.00
Fractional coordinates of all 4 atoms:
S1 0.752 0.752 0.744
Er1 0.500 0.500 0.500
Ag1 0.000 0.000 0.000
S2 0.248 0.248 0.256

Computed properties:
The formation energy without anion corrections comes out at -1.3063 eV/atom. Its electronic total energy is -5.558 eV/atom. As for the symmetry: R-3m (166). Its density of states at the Fermi level is 0.000 states/eV per atom.

Tl2HgAs: optimized geometry, GGA-PBEsol.

a b c (Å): 5.213 5.213 5.213
angles (deg): 60.00 60.00 60.00
Fractional coordinates of all 4 atoms:
As1 0.500 0.500 0.500
Hg1 0.000 0.000 0.000
Tl1 0.250 0.250 0.250
Tl2 0.750 0.750 0.750

Computed properties:
Its electronic total energy is -2.664 eV/atom. As for the symmetry: Fm-3m (225). The energy above the most stable polymorph in this dataset is 0.006 eV/atom. Its density of states at the Fermi level is 0.399 states/eV per atom.

BaLi2Mg: optimized geometry, GGA-PBEsol.

a b c (Å): 3.737 5.676 5.896
angles (deg): 90.00 90.00 90.00
Fractional coordinates of all 4 atoms:
Ba1 0.000 0.500 0.500
Li1 0.000 0.000 0.000
Li2 0.500 0.000 0.500
Mg1 0.500 0.500 0.000

Computed properties:
Its electronic total energy is -1.806 eV/atom. As for the symmetry: Pmmm (47). Its density of states at the Fermi level is 0.854 states/eV per atom.

BaHfHS2: optimized geometry, GGA-PBEsol.

a b c (Å): 3.557 5.073 5.073
angles (deg): 90.00 90.00 90.00
Fractional coordinates of all 5 atoms:
S1 0.000 0.500 0.000
Hf1 0.500 0.000 0.000
Ba1 0.500 0.500 0.500
S2 0.000 0.000 0.500
H1 0.000 0.000 0.000

Computed properties:
Its electronic total energy is -5.702 eV/atom. As for the symmetry: P4/mmm (123). Its density of states at the Fermi level is 0.391 states/eV per atom.

Number 1: total moment 0.00 Bohr magnetons per cell. Number 2: total moment 3.65 Bohr magnetons per cell. Number 3: total moment 5.02 Bohr magnetons per cell. Number 4: total moment 0.00 Bohr magnetons per cell. Number 5: total moment 0.00 Bohr magnetons per cell. Number 6: total moment 0.00 Bohr magnetons per cell. Number 7: total moment 0.00 Bohr magnetons per cell. Number 8: total moment 0.00 Bohr magnetons per cell.